# 1
Computed, not measured: a relaxed SrIr2O6 crystal at the PBE-GGA level of DFT.

The structure in extended XYZ format:
```
18
Lattice="-3.498 3.501 4.947 3.498 -3.501 4.947 3.498 3.501 -4.947" Properties=species:S:1:pos:R:3 pbc="T T T"
Sr 0.000 1.750 1.200
Sr 3.498 1.750 3.746
Ir 1.749 1.750 -2.473
Ir 1.749 -1.750 2.473
Ir 3.498 0.000 0.000
Ir 0.000 0.000 4.947
O 2.021 -0.279 1.233
O 4.974 -0.279 1.233
O 3.498 -1.750 3.322
O 2.021 3.221 -1.233
O 3.498 1.750 0.846
O 1.477 -0.279 3.714
O 2.021 3.780 1.233
O 0.000 1.750 4.101
O 1.477 0.279 6.180
O 0.000 5.251 1.624
O -1.477 3.780 3.714
O 1.477 3.780 3.714
```

Output
Space group   Imma (74)
Excess energy over the best structure of this formula in the dataset   0.1021 eV per atom

***

# 2
Computed, not measured: a relaxed SrIrO3 crystal at the PBE-GGA level of DFT.

The structure in extended XYZ format:
```
20
Lattice="5.674 0.000 0.000 0.000 7.891 0.000 0.000 0.000 5.550" Properties=species:S:1:pos:R:3 pbc="T T T"
Sr 0.250 1.973 0.051
Sr 2.586 5.918 2.826
Sr 3.087 1.973 2.724
Sr 5.423 5.918 5.499
Ir 0.000 0.000 2.775
Ir 0.000 3.945 2.775
Ir 2.837 0.000 0.000
Ir 2.837 3.945 0.000
O 0.131 5.918 2.335
O 1.168 4.263 4.417
O 1.168 7.573 4.417
O 1.669 0.318 1.642
O 1.669 3.628 1.642
O 2.706 1.973 5.110
O 2.968 5.918 0.440
O 4.005 4.263 3.908
O 4.005 7.573 3.908
O 4.506 0.318 1.133
O 4.506 3.628 1.133
O 5.543 1.973 3.215
```

Output
Total DFT energy (no corrections)   -133.187 eV per cell
Space group   Pnma (62)

***

# 3
Computed, not measured: a relaxed SrIr2O6 crystal at the PBE-GGA level of DFT.

The structure in extended XYZ format:
```
9
Lattice="5.319 0.000 0.000 -2.659 4.606 0.000 0.000 0.000 5.101" Properties=species:S:1:pos:R:3 pbc="T T T"
Sr 0.000 0.000 0.000
Ir 0.000 3.071 2.550
Ir 2.659 1.535 2.550
O -1.006 1.743 3.605
O -1.653 2.863 1.496
O 2.013 0.000 3.605
O 1.006 1.743 1.496
O 3.306 0.000 1.496
O 1.653 2.863 3.605
```

Output
Space group   P-31m (162)
Excess energy over the best structure of this formula in the dataset   0.0000 eV per atom

***

# 4
Computed, not measured: a relaxed Sr2IrO4 crystal at the PBE-GGA level of DFT.

The structure in extended XYZ format:
```
14
Lattice="0.000 4.837 4.837 4.837 0.000 4.837 4.837 4.837 0.000" Properties=species:S:1:pos:R:3 pbc="T T T"
Sr 0.000 0.000 0.000
Sr 2.419 2.419 0.000
Sr 2.419 0.000 2.419
Sr 0.000 2.419 2.419
Ir 3.628 3.628 3.628
Ir 6.047 6.047 6.047
O 2.498 2.498 2.498
O 4.758 4.758 2.498
O 4.758 2.498 4.758
O 7.177 4.917 4.917
O 2.498 4.758 4.758
O 4.917 7.177 4.917
O 4.917 4.917 7.177
O 7.177 7.177 7.177
```

Output
Space group   Fd-3m (227)
Excess energy over the best structure of this formula in the dataset   0.4886 eV per atom

***

# 5
Computed, not measured: a relaxed SrIrO3 crystal at the PBE-GGA level of DFT.

The structure in extended XYZ format:
```
10
Lattice="2.792 1.612 5.152 -2.792 1.612 5.152 0.000 -3.224 5.152" Properties=species:S:1:pos:R:3 pbc="T T T"
Sr 0.000 0.000 2.057
Sr 0.000 0.000 13.398
Ir 0.000 0.000 5.210
Ir 0.000 0.000 10.246
O -1.122 -1.375 6.234
O -1.751 0.284 9.221
O -0.630 1.659 6.234
O 0.630 -1.659 9.221
O 1.751 -0.284 6.234
O 1.122 1.375 9.221
```

Output
Total DFT energy (no corrections)   -66.059 eV per cell
Space group   R-3 (148)

***

# 6
Computed, not measured: a relaxed Sr4Ir3O10 crystal at the PBE-GGA level of DFT.

The structure in extended XYZ format:
```
17
Lattice="-1.970 1.970 14.232 1.970 -1.970 14.232 1.970 1.970 -14.232" Properties=species:S:1:pos:R:3 pbc="T T T"
Sr 0.000 0.000 1.990
Sr 0.000 0.000 5.768
Sr 0.000 0.000 22.695
Sr 0.000 0.000 26.474
Ir 0.000 0.000 10.158
Ir 0.000 0.000 14.232
Ir 0.000 0.000 18.305
O 1.970 0.000 0.000
O 1.970 0.000 3.944
O 0.000 0.000 8.148
O 1.970 0.000 10.288
O 0.000 0.000 12.227
O 0.000 1.970 0.000
O 0.000 0.000 16.236
O 0.000 1.970 3.944
O 0.000 0.000 20.316
O 0.000 1.970 10.288
```

Output
Total DFT energy (no corrections)   -111.026 eV per cell
Space group   I4/mmm (139)

***

# 7
Computed, not measured: a relaxed Sr4Ta3IrO12 crystal at the PBE-GGA level of DFT.

The structure in extended XYZ format:
```
20
Lattice="5.678 0.000 0.000 -0.007 5.695 0.000 -0.002 -0.071 7.982" Properties=species:S:1:pos:R:3 pbc="T T T"
Sr 0.018 0.139 2.053
Sr 2.797 2.936 2.043
Sr 2.872 2.688 5.939
Sr 5.651 5.485 5.930
Ta -0.004 2.847 0.000
Ta 2.839 0.000 0.000
Ta 2.838 -0.036 3.991
Ir -0.005 2.812 3.991
O 0.380 2.841 6.050
O 1.271 4.459 3.700
O 1.319 4.376 0.263
O 1.519 1.512 0.245
O 1.652 1.538 3.748
O 2.512 -0.040 6.000
O 3.157 5.664 1.983
O 4.017 4.086 4.235
O 4.151 4.111 7.738
O 4.351 1.248 7.720
O 4.398 1.165 4.282
O 5.289 2.783 1.932
```

Output
Total DFT energy (no corrections)   -163.079 eV per cell
Space group   P-1 (2)

***

# 8
Computed, not measured: a relaxed Ta2Ir2O5 crystal at the PBE-GGA level of DFT.

The structure in extended XYZ format:
```
9
Lattice="3.944 0.000 0.000 0.000 3.944 0.000 0.000 0.000 7.278" Properties=species:S:1:pos:R:3 pbc="T T T"
Ta 0.000 0.000 1.654
Ta 0.000 0.000 5.624
Ir 1.972 1.972 0.000
Ir 1.972 1.972 3.639
O 0.000 0.000 3.639
O 0.000 1.972 1.792
O 0.000 1.972 5.487
O 1.972 0.000 1.792
O 1.972 0.000 5.487
```

Output
Space group   P4/mmm (123)
Excess energy over the best structure of this formula in the dataset   0.0000 eV per atom

***

# 9
Computed, not measured: a relaxed Ta2Ir2O5 crystal at the PBE-GGA level of DFT.

The structure in extended XYZ format:
```
9
Lattice="3.389 0.000 0.000 0.000 3.389 0.000 0.000 0.000 8.319" Properties=species:S:1:pos:R:3 pbc="T T T"
Ta 0.000 0.000 0.000
Ta 0.000 0.000 4.159
Ir 1.695 1.695 1.325
Ir 1.695 1.695 6.994
O 0.000 1.695 2.645
O 0.000 1.695 5.674
O 1.695 0.000 2.645
O 1.695 0.000 5.674
O 1.695 1.695 4.159
```

Output
Space group   P4/mmm (123)
Excess energy over the best structure of this formula in the dataset   0.0347 eV per atom

***

# 10
Computed, not measured: a relaxed Tc2IrO4 crystal at the PBE-GGA level of DFT.

The structure in extended XYZ format:
```
14
Lattice="0.000 4.357 4.357 4.357 0.000 4.357 4.357 4.357 0.000" Properties=species:S:1:pos:R:3 pbc="T T T"
Tc 0.000 0.000 0.000
Tc 2.178 2.178 0.000
Tc 2.178 0.000 2.178
Tc 0.000 2.178 2.178
Ir 3.267 3.267 3.267
Ir 5.446 5.446 5.446
O 6.638 4.253 4.253
O 2.075 2.075 2.075
O 4.460 4.460 2.075
O 4.460 2.075 4.460
O 4.253 6.638 4.253
O 4.253 4.253 6.638
O 6.638 6.638 6.638
O 2.075 4.460 4.460
```

Output
Total DFT energy (no corrections)   -104.599 eV per cell
Space group   Fd-3m (227)

***

# 11
Computed, not measured: a relaxed Tc2Ir2O5 crystal at the PBE-GGA level of DFT.

The structure in extended XYZ format:
```
9
Lattice="3.338 0.000 0.000 0.000 3.338 0.000 0.000 0.000 8.438" Properties=species:S:1:pos:R:3 pbc="T T T"
Tc 0.000 0.000 1.385
Tc 0.000 0.000 7.052
Ir 1.669 1.669 0.000
Ir 1.669 1.669 4.219
O 0.000 0.000 4.219
O 0.000 1.669 2.473
O 0.000 1.669 5.964
O 1.669 0.000 2.473
O 1.669 0.000 5.964
```

Output
Space group   P4/mmm (123)
Excess energy over the best structure of this formula in the dataset   0.0000 eV per atom

***

# 12
Computed, not measured: a relaxed Tc2Ir2O5 crystal at the PBE-GGA level of DFT.

The structure in extended XYZ format:
```
9
Lattice="3.879 0.000 0.000 0.000 3.879 0.000 0.000 0.000 6.932" Properties=species:S:1:pos:R:3 pbc="T T T"
Tc 0.000 0.000 0.000
Tc 0.000 0.000 3.466
Ir 1.940 1.940 1.328
Ir 1.940 1.940 5.605
O 0.000 1.940 1.765
O 0.000 1.940 5.168
O 1.940 0.000 1.765
O 1.940 0.000 5.168
O 1.940 1.940 3.466
```

Output
Space group   P4/mmm (123)
Excess energy over the best structure of this formula in the dataset   0.1287 eV per atom

***

# 13
Computed, not measured: a relaxed TlTeIrO crystal at the PBE-GGA level of DFT.

The structure in extended XYZ format:
```
8
Lattice="3.921 0.000 0.000 0.000 8.220 0.000 0.000 0.000 5.648" Properties=species:S:1:pos:R:3 pbc="T T T"
Tl 0.000 1.031 0.000
Tl 0.000 7.189 2.824
Te 0.000 2.856 2.811
Te 0.000 5.365 5.635
Ir 1.961 4.109 1.395
Ir 1.961 4.111 4.220
O 1.961 2.579 5.631
O 1.961 5.642 2.806
```

Output
Space group   Pmc2_1 (26)
Excess energy over the best structure of this formula in the dataset   0.0000 eV per atom

***

# 14
Computed, not measured: a relaxed TlTeIrO crystal at the PBE-GGA level of DFT.

The structure in extended XYZ format:
```
8
Lattice="4.179 0.000 0.000 0.000 4.179 0.000 0.000 0.000 9.257" Properties=species:S:1:pos:R:3 pbc="T T T"
Tl 1.045 3.135 0.000
Tl 3.135 1.045 0.000
Te 1.045 1.045 2.694
Te 3.135 3.135 6.564
Ir 1.045 1.045 5.425
Ir 3.135 3.135 3.832
O 1.045 3.135 4.629
O 3.135 1.045 4.629
```

Output
Space group   P4/nmm (129)
Excess energy over the best structure of this formula in the dataset   0.7633 eV per atom

***

# 15
Computed, not measured: a relaxed TlIrO3 crystal at the PBE-GGA level of DFT.

The structure in extended XYZ format:
```
20
Lattice="5.398 0.000 0.000 -2.699 4.675 0.000 0.000 0.000 12.466" Properties=species:S:1:pos:R:3 pbc="T T T"
Tl 0.000 3.116 0.731
Tl 0.000 3.116 5.502
Tl 2.699 1.558 6.964
Tl 2.699 1.558 11.735
Ir 0.000 0.000 3.116
Ir 0.000 0.000 9.349
Ir 0.000 3.116 9.349
Ir 2.699 1.558 3.116
O -0.566 1.558 8.266
O -1.632 3.405 10.433
O 0.566 1.558 10.433
O -1.066 4.385 8.266
O 1.632 0.289 2.033
O 1.067 1.269 4.200
O 1.632 3.405 8.266
O 1.066 4.385 10.433
O 3.765 0.289 4.200
O 2.133 3.116 2.033
O 4.331 1.269 2.033
O 3.265 3.116 4.200
```

Output
Total DFT energy (no corrections)   -118.902 eV per cell
Space group   P-31c (163)

***

# 16
Computed, not measured: a relaxed TlIrO3 crystal at the PBE-GGA level of DFT.

The structure in extended XYZ format:
```
20
Lattice="5.581 0.000 0.000 0.000 7.863 0.000 0.000 0.000 5.515" Properties=species:S:1:pos:R:3 pbc="T T T"
Tl 0.148 1.966 0.071
Tl 2.642 5.897 2.828
Tl 2.939 1.966 2.687
Tl 5.433 5.897 5.444
Ir 0.000 0.000 2.758
Ir 0.000 3.932 2.758
Ir 2.791 0.000 0.000
Ir 2.791 3.932 0.000
O 0.331 5.897 2.164
O 1.274 4.453 4.260
O 1.274 7.342 4.260
O 1.517 0.521 1.503
O 1.517 3.410 1.503
O 2.459 1.966 4.922
O 3.122 5.897 0.593
O 4.064 4.453 4.012
O 4.064 7.342 4.012
O 4.307 0.521 1.255
O 4.307 3.410 1.255
O 5.250 1.966 3.351
```

Output
Total DFT energy (no corrections)   -115.587 eV per cell
Space group   Pnma (62)

***

# 17
Computed, not measured: a relaxed TlIrO3 crystal at the PBE-GGA level of DFT.

The structure in extended XYZ format:
```
10
Lattice="3.413 1.970 4.449 -3.413 1.970 4.449 0.000 -3.941 4.449" Properties=species:S:1:pos:R:3 pbc="T T T"
Tl 0.000 0.000 0.000
Tl 0.000 0.000 6.673
Ir 0.000 0.000 3.336
Ir 0.000 0.000 10.009
O -2.526 -0.434 5.561
O -0.887 -2.405 7.785
O 1.639 -1.970 5.561
O -1.639 1.970 7.785
O 0.887 2.405 5.561
O 2.526 0.434 7.785
```

Output
Total DFT energy (no corrections)   -56.879 eV per cell
Space group   R-3c (167)

***

# 18
Computed, not measured: a relaxed Tl4IrO4 crystal at the PBE-GGA level of DFT.

The structure in extended XYZ format:
```
9
Lattice="5.333 -3.021 0.000 5.333 3.021 0.000 -2.613 0.000 5.688" Properties=species:S:1:pos:R:3 pbc="T T T"
Tl 0.129 0.000 1.803
Tl 1.063 0.000 5.053
Tl 6.991 0.000 0.635
Tl 7.925 0.000 3.886
Ir 4.027 0.000 2.844
O 3.570 1.370 1.570
O 4.483 1.370 4.118
O 3.570 -1.370 1.570
O 4.483 -1.370 4.118
```

Output
Total DFT energy (no corrections)   -43.293 eV per cell
Space group   C2/m (12)

***

# 19
Computed, not measured: a relaxed TlIrO3 crystal at the PBE-GGA level of DFT.

The structure in extended XYZ format:
```
20
Lattice="5.457 0.000 0.000 0.000 9.113 0.000 0.000 0.000 5.252" Properties=species:S:1:pos:R:3 pbc="T T T"
Tl 0.000 0.000 0.000
Tl 0.000 4.557 0.000
Tl 2.728 0.000 2.626
Tl 2.728 4.557 2.626
Ir 0.221 2.278 2.609
Ir 2.508 6.835 5.236
Ir 2.949 2.278 0.017
Ir 5.236 6.835 2.643
O 0.805 6.835 0.930
O 1.111 5.678 3.613
O 1.111 7.992 3.613
O 1.617 1.121 0.987
O 1.617 3.436 0.987
O 1.923 2.278 3.556
O 3.533 6.835 1.696
O 3.839 5.678 4.266
O 3.839 7.992 4.266
O 4.346 1.121 1.639
O 4.346 3.436 1.639
O 4.652 2.278 4.322
```

Output
Total DFT energy (no corrections)   -109.921 eV per cell
Space group   Pnma (62)